Entry 1:
First-principles (PBE-GGA) data for Tl2InSbI6 after structural relaxation, as listed in Alexandria.

Results
Space group = P1 (1)

Unit cell a=8.5362 b=8.5480 c=8.9404 alpha=61.50 beta=61.49 gamma=60.05
Last column: nearest neighbours and their distance in Å.
Fractional positions:
Tl  0.0000  0.0000  0.0000  6 I 3.56-3.63
Tl  0.4950  0.4939  0.5171  6 I 3.56-3.59
In  0.2983  0.2984  0.1060  6 I 3.35-3.42
Sb  0.8015  0.8018  0.5957  6 I 3.06
I  0.0452  0.6676  0.8272  1 Sb 3.06, 1 In 3.42
I  0.1443  0.5793  0.3472  1 Sb 3.06, 1 In 3.35
I  0.4610  0.0444  0.8279  1 Sb 3.06, 1 In 3.42
I  0.5785  0.9294  0.3478  1 Sb 3.06, 1 In 3.35
I  0.6676  0.4610  0.8279  1 Sb 3.06, 1 In 3.41
I  0.9300  0.1442  0.3474  1 Sb 3.06, 1 In 3.35



Entry 2:
First-principles (PBE-GGA) data for Sm7Tl4Cd after structural relaxation, as listed in Alexandria.

Results
Calculated formation energy = -0.172 eV/atom
Space group = C2/m (12)

Unit cell a=8.9963 b=8.9963 c=8.9104 alpha=119.03 beta=119.03 gamma=36.81
Last column: nearest neighbours and their distance in Å.
Fractional positions:
Sm  0.0000  0.0000  0.0000  2 Cd 2.84, 2 Tl 3.08
Sm  0.2162  0.2162  0.6111  4 Tl 3.11-3.22
Sm  0.3362  0.3362  0.0762  1 Cd 3.20, 3 Tl 3.20-3.39, 2 Sm 3.53-3.56
Sm  0.4304  0.4304  0.6002  1 Cd 3.13, 3 Tl 3.41-3.48
Sm  0.5696  0.5696  0.3998  1 Cd 3.13, 3 Tl 3.41-3.48
Sm  0.6638  0.6638  0.9238  1 Cd 3.20, 3 Tl 3.20-3.39, 2 Sm 3.53-3.56
Sm  0.7838  0.7838  0.3889  4 Tl 3.11-3.22
Tl  0.0582  0.0582  0.7067  1 Tl 3.17, 6 Sm 3.22-3.41
Tl  0.2089  0.2089  0.2432  5 Sm 3.08-3.22
Tl  0.7911  0.7911  0.7568  5 Sm 3.08-3.22
Tl  0.9418  0.9418  0.2933  1 Tl 3.17, 6 Sm 3.22-3.41
Cd  0.5000  0.5000  0.0000  4 Sm 2.84-3.13



Entry 3:
First-principles (PBE-GGA) data for Ba2CePrO6 after structural relaxation, as listed in Alexandria.

Results
Space group = P2_1/c (14)
Distance to the lowest polymorph of the same formula = 0 meV per atom

Unit cell a=6.3345 b=6.3849 c=10.9743 alpha=90.00 beta=125.09 gamma=90.00
Last column: nearest neighbours and their distance in Å.
Fractional positions:
Ba  0.2399  0.0320  0.2500  6 O 2.72-3.00
Ba  0.2399  0.4680  0.7500  6 O 2.72-3.00
Ba  0.7601  0.5320  0.2500  6 O 2.72-3.00
Ba  0.7601  0.9680  0.7500  6 O 2.72-3.00
Ce  0.0000  0.0000  0.5000  6 O 2.23-2.25
Ce  0.0000  0.5000  0.0000  6 O 2.23-2.25
Pr  0.5000  0.0000  0.0000  6 O 2.38
Pr  0.5000  0.5000  0.5000  6 O 2.38
O  0.1600  0.2231  0.9521  1 Ce 2.25, 1 Pr 2.38
O  0.1600  0.2769  0.4521  1 Ce 2.25, 1 Pr 2.38
O  0.2303  0.7082  0.9542  1 Ce 2.23, 1 Pr 2.38
O  0.2303  0.7918  0.4542  1 Ce 2.23, 1 Pr 2.38
O  0.3272  0.0265  0.7421  1 Ce 2.25, 1 Pr 2.38
O  0.3272  0.4735  0.2421  1 Ce 2.25, 1 Pr 2.38
O  0.6728  0.5265  0.7579  1 Ce 2.25, 1 Pr 2.38
O  0.6728  0.9735  0.2579  1 Ce 2.25, 1 Pr 2.38
O  0.7697  0.2082  0.5458  1 Ce 2.23, 1 Pr 2.38
O  0.7697  0.2918  0.0458  1 Ce 2.23, 1 Pr 2.38
O  0.8400  0.7231  0.5479  1 Ce 2.25, 1 Pr 2.38
O  0.8400  0.7769  0.0479  1 Ce 2.25, 1 Pr 2.38



Entry 4:
First-principles (PBE-GGA) data for Ba2TlPt4Pb3 after structural relaxation, as listed in Alexandria.

Results
Calculated formation energy = -0.497 eV/atom
Space group = P-4m2 (115)

Unit cell a=4.9882 b=4.9882 c=10.7954 alpha=90.00 beta=90.00 gamma=90.00
Last column: nearest neighbours and their distance in Å.
Fractional positions:
Ba  0.0000  0.5000  0.2414  8 Pt 3.61-3.80, 2 Tl 3.74, 7 Pb 3.74-3.87
Ba  0.5000  0.0000  0.7586  8 Pt 3.61-3.80, 2 Tl 3.74, 7 Pb 3.74-3.87
Tl  0.0000  0.0000  0.5000  4 Pt 2.85
Pt  0.0000  0.0000  0.0000  4 Pb 2.79
Pt  0.0000  0.5000  0.6270  3 Pb 2.77-2.85, 2 Tl 2.85
Pt  0.5000  0.0000  0.3730  3 Pb 2.77-2.85, 2 Tl 2.85
Pt  0.5000  0.5000  0.0000  4 Pb 2.79
Pb  0.0000  0.5000  0.8833  5 Pt 2.77-2.79
Pb  0.5000  0.0000  0.1167  5 Pt 2.77-2.79
Pb  0.5000  0.5000  0.5000  4 Pt 2.85



Entry 5:
First-principles (PBE-GGA) data for PrGa4PdRh2 after structural relaxation, as listed in Alexandria.

Results
Calculated formation energy = -0.670 eV/atom
Space group = R-3m (166)

Unit cell a=9.2053 b=9.2053 c=9.2053 alpha=26.91 beta=26.91 gamma=26.91
Last column: nearest neighbours and their distance in Å.
Fractional positions:
Pr  0.0000  0.0000  0.0000  6 Ga 3.06
Ga  0.1292  0.1292  0.1292  4 Rh 2.57-2.69, 3 Pd 2.67
Ga  0.4013  0.4013  0.4013  1 Pd 2.63, 3 Rh 2.64
Ga  0.5987  0.5987  0.5987  1 Pd 2.63, 3 Rh 2.64
Ga  0.8708  0.8708  0.8708  4 Rh 2.57-2.69, 3 Pd 2.67
Pd  0.5000  0.5000  0.5000  8 Ga 2.63-2.67
Rh  0.2302  0.2302  0.2302  7 Ga 2.57-2.69
Rh  0.7698  0.7698  0.7698  7 Ga 2.57-2.69



Entry 6:
First-principles (PBE-GGA) data for Pr14ThSc after structural relaxation, as listed in Alexandria.

Results
Calculated formation energy = 0.033 eV/atom
Space group = P4/mmm (123)

Unit cell a=7.3352 b=7.3352 c=10.4571 alpha=90.00 beta=90.00 gamma=90.00
Last column: nearest neighbours and their distance in Å.
Fractional positions:
Pr  0.0000  0.0000  0.0000  12 Pr 3.67-3.73
Pr  0.0000  0.5000  0.0000  12 Pr 3.67-3.73
Pr  0.0000  0.5000  0.5000  8 Pr 3.63, 2 Th 3.67, 2 Sc 3.67
Pr  0.2494  0.2494  0.2567  1 Sc 3.63, 10 Pr 3.63-3.74, 1 Th 3.64
Pr  0.2494  0.2494  0.7433  1 Sc 3.63, 10 Pr 3.63-3.74, 1 Th 3.64
Pr  0.2494  0.7506  0.2567  1 Sc 3.63, 10 Pr 3.63-3.74, 1 Th 3.64
Pr  0.2494  0.7506  0.7433  1 Sc 3.63, 10 Pr 3.63-3.74, 1 Th 3.64
Pr  0.5000  0.0000  0.0000  12 Pr 3.67-3.73
Pr  0.5000  0.0000  0.5000  8 Pr 3.63, 2 Th 3.67, 2 Sc 3.67
Pr  0.5000  0.5000  0.0000  12 Pr 3.67-3.74
Pr  0.7506  0.2494  0.2567  1 Sc 3.63, 10 Pr 3.63-3.74, 1 Th 3.64
Pr  0.7506  0.2494  0.7433  1 Sc 3.63, 10 Pr 3.63-3.74, 1 Th 3.64
Pr  0.7506  0.7506  0.2567  1 Sc 3.63, 10 Pr 3.63-3.74, 1 Th 3.64
Pr  0.7506  0.7506  0.7433  1 Sc 3.63, 10 Pr 3.63-3.74, 1 Th 3.64
Th  0.5000  0.5000  0.5000  12 Pr 3.64-3.67
Sc  0.0000  0.0000  0.5000  12 Pr 3.63-3.67



Entry 7:
First-principles (PBE-GGA) data for PaTaCr4 after structural relaxation, as listed in Alexandria.

Results
Calculated formation energy = 0.179 eV/atom
Space group = F-43m (216)

Unit cell a=5.0436 b=5.0436 c=5.0436 alpha=60.00 beta=60.00 gamma=60.00
Last column: nearest neighbours and their distance in Å.
Fractional positions:
Pa  0.0000  0.0000  0.0000  12 Cr 2.96, 4 Ta 3.09
Ta  0.7500  0.7500  0.7500  12 Cr 2.96, 4 Pa 3.09
Cr  0.3750  0.3750  0.3750  6 Cr 2.52
Cr  0.3750  0.3750  0.8750  6 Cr 2.52
Cr  0.3750  0.8750  0.3750  6 Cr 2.52
Cr  0.8750  0.3750  0.3750  6 Cr 2.52



Entry 8:
First-principles (PBE-GGA) data for LiHg2O2 after structural relaxation, as listed in Alexandria.

Results
Space group = Cmc2_1 (36)

Unit cell a=5.7216 b=5.7216 c=10.4708 alpha=90.00 beta=90.00 gamma=148.74
Last column: nearest neighbours and their distance in Å.
Fractional positions:
Li  0.1664  0.8336  0.5000  4 O 2.09-2.12
Li  0.8336  0.1664  0.0000  4 O 2.09-2.12
Hg  0.0945  0.9055  0.9015  3 O 2.34-2.38
Hg  0.3195  0.6805  0.7334  3 O 2.19-2.31
Hg  0.6805  0.3195  0.2334  3 O 2.19-2.31
Hg  0.9055  0.0945  0.4015  3 O 2.34-2.38
O  0.2272  0.7728  0.0763  2 Li 2.09, 3 Hg 2.31-2.34
O  0.4306  0.5694  0.9063  2 Li 2.12, 1 Hg 2.19
O  0.5694  0.4306  0.4063  2 Li 2.12, 1 Hg 2.19
O  0.7728  0.2272  0.5763  2 Li 2.09, 3 Hg 2.31-2.34



Entry 9:
First-principles (PBE-GGA) data for Y6ErTm4 after structural relaxation, as listed in Alexandria.

Results
Calculated formation energy = 0.159 eV/atom
Space group = P-6m2 (187)
Distance to the lowest polymorph of the same formula = 0 meV per atom

Unit cell a=10.8305 b=10.8305 c=3.5273 alpha=90.00 beta=90.00 gamma=120.00
Last column: nearest neighbours and their distance in Å.
Fractional positions:
Y  0.1826  0.3653  0.0000  4 Tm 3.23-3.33, 2 Y 3.53
Y  0.1826  0.8174  0.0000  4 Tm 3.23-3.33, 2 Y 3.53
Y  0.5212  0.0423  0.5000  5 Tm 3.51-3.52, 6 Y 3.53-3.68
Y  0.5212  0.4788  0.5000  5 Tm 3.51-3.52, 6 Y 3.53-3.68
Y  0.6347  0.8174  0.0000  4 Tm 3.23-3.33, 2 Y 3.53
Y  0.9577  0.4788  0.5000  5 Tm 3.51-3.52, 6 Y 3.53-3.68
Er  0.0000  0.0000  0.5000  6 Tm 3.46, 2 Er 3.53, 6 Y 3.85
Tm  0.3179  0.1589  0.0000  6 Y 3.23-3.51, 2 Er 3.46, 2 Tm 3.53
Tm  0.3333  0.6667  0.5000  9 Y 3.33-3.52, 2 Tm 3.53
Tm  0.8411  0.1589  0.0000  6 Y 3.23-3.51, 2 Er 3.46, 2 Tm 3.53
Tm  0.8411  0.6821  0.0000  6 Y 3.23-3.51, 2 Er 3.46, 2 Tm 3.53



Entry 10:
First-principles (PBE-GGA) data for Sb2RhBr after structural relaxation, as listed in Alexandria.

Results
Space group = Imm2 (44)
Distance to the lowest polymorph of the same formula = 213 meV per atom

Unit cell a=8.2217 b=8.2217 c=8.2217 alpha=155.97 beta=151.90 gamma=37.30
Last column: nearest neighbours and their distance in Å.
Fractional positions:
Sb  0.0000  0.0000  0.0000  4 Rh 2.77
Sb  0.6833  0.1833  0.5000  2 Rh 2.62
Rh  0.5558  0.5558  0.0000  6 Sb 2.62-2.77
Br  0.2974  0.7974  0.5000  4 Sb 3.17, 2 Br 3.42



| no. | total energy (Ry per atom) |
| --- | --- |
| 1 | -0.189 |
| 2 | -0.279 |
| 3 | -0.537 |
| 4 | -0.342 |
| 5 | -0.387 |
| 6 | -0.368 |
| 7 | -0.720 |
| 8 | -0.224 |
| 9 | -0.397 |
| 10 | -0.326 |